# LiBeWF2 GGA+U relaxed
data_LiBeWF2
_cell_length_a 4.215
_cell_length_b 4.215
_cell_length_c 5.163
_cell_angle_alpha 90.00
_cell_angle_beta 90.00
_cell_angle_gamma 90.00
_space_group_name_H-M_alt 'P 4/m m m'
_space_group_IT_number 123
_space_group_name_Hall '-P 4 2'
loop_
_atom_site_label
_atom_site_fract_x
_atom_site_fract_y
_atom_site_fract_z
_atom_site_occupancy
Li1 0.000 0.000 0.000 1
Be1 0.500 0.500 0.000 1
W1 0.500 0.500 0.500 1
F1 0.000 0.500 0.500 1
# * E_tot: -20.13 eV per formula unit
# * theoretical density: 4.3 g/cm3
# * total magnetization: 2.73 μB/f.u.
# * crystal system: tetragonal
# * V: 91.7 Å³/f.u.